# Cs2N2Cl5 | Alexandria via LeMat-Bulk | PBE | relaxed
data_Cs2N2Cl5
_space_group_name_H-M_alt 'P 1'
_space_group_IT_number 1
_cell_length_a 5.839
_cell_length_b 5.214
_cell_length_c 11.955
_cell_angle_alpha 90.00
_cell_angle_beta 90.00
_cell_angle_gamma 66.89
loop_
_space_group_symop_operation_xyz
'x,y,z'
loop_
_atom_site_label
_atom_site_type_symbol
_atom_site_fract_x
_atom_site_fract_y
_atom_site_fract_z
_atom_site_occupancy
Cl1 Cl 0.077 0.528 0.734 1
Cl2 Cl 0.537 0.140 0.181 1
Cl3 Cl 0.077 0.528 0.266 1
Cl4 Cl 0.796 0.681 0.500 1
Cl5 Cl 0.537 0.140 0.819 1
N1 N 0.259 0.418 0.854 1
N2 N 0.259 0.418 0.146 1
Cs1 Cs 0.113 0.973 0.000 1
Cs2 Cs 0.181 0.009 0.500 1
# total DFT energy (no corrections)	-3.32	eV/atom
# ΔE_f (raw)	-0.253	eV/atom
# D(E_F)	0.717	states/eV/atom

***

# Zr2GaH | Alexandria via LeMat-Bulk | PBE | relaxed
data_Zr2GaH
_space_group_name_H-M_alt 'P 1'
_space_group_IT_number 1
_cell_length_a 6.440
_cell_length_b 6.440
_cell_length_c 5.554
_cell_angle_alpha 54.57
_cell_angle_beta 54.57
_cell_angle_gamma 90.00
loop_
_space_group_symop_operation_xyz
'x,y,z'
loop_
_atom_site_label
_atom_site_type_symbol
_atom_site_fract_x
_atom_site_fract_y
_atom_site_fract_z
_atom_site_occupancy
Zr1 Zr 0.875 0.800 0.750 1
Zr2 Zr 0.200 0.625 0.250 1
Zr3 Zr 0.550 0.125 0.250 1
Zr4 Zr 0.375 0.450 0.750 1
H1 H 0.250 0.750 0.500 1
H2 H 0.500 0.500 0.000 1
Ga1 Ga 0.000 0.000 0.000 1
Ga2 Ga 0.750 0.250 0.500 1
# E above lowest polymorph	113	meV per atom
# total DFT energy (no corrections)	-6.22	eV/atom
# D(E_F)	1.075	states/eV/atom